Density functional theory data (PBE) for LaBe2SiN4 after structural relaxation.

Computed properties:
The value obtained for the energy is -7.21 eV per atom.

Unit cell a=4.8489 b=4.8489 c=7.2538 alpha=90.00 beta=90.00 gamma=90.00
Fractional positions:
1 La 0.0000 0.0000 0.0000
2 La 0.5000 0.5000 0.5000
3 Be 0.0000 0.5000 0.2500
4 Be 0.0000 0.5000 0.7500
5 Be 0.5000 0.0000 0.2500
6 Be 0.5000 0.0000 0.7500
7 Si 0.0000 0.0000 0.5000
8 Si 0.5000 0.5000 0.0000
9 N 0.1959 0.1959 0.6540
10 N 0.1959 0.8041 0.3460
11 N 0.3041 0.3041 0.1540
12 N 0.3041 0.6959 0.8460
13 N 0.6959 0.3041 0.8460
14 N 0.6959 0.6959 0.1540
15 N 0.8041 0.1959 0.3460
16 N 0.8041 0.8041 0.6540


Density functional theory data (PBE) for Ti4Sn5 after structural relaxation.

Computed properties:
The calculation puts the energy relative to the elements at -3.2 kJ/mol of atoms.

Unit cell a=6.5559 b=6.5559 c=6.5559 alpha=100.10 beta=100.10 gamma=130.49
Fractional positions:
1 Ti 0.0577 0.6579 0.7156
2 Ti 0.3421 0.0577 0.3998
3 Ti 0.6579 0.9423 0.6002
4 Ti 0.9423 0.3421 0.2844
5 Sn 0.0000 0.0000 0.0000
6 Sn 0.2684 0.3936 0.6621
7 Sn 0.3936 0.7316 0.1252
8 Sn 0.6064 0.2684 0.8748
9 Sn 0.7316 0.6064 0.3379


Density functional theory data (PBE) for PrInAu4 after structural relaxation.

Computed properties:
The calculation puts the energy relative to the elements at -39.4 kJ/mol of atoms.

Unit cell a=3.7568 b=3.8130 c=9.2351 alpha=87.16 beta=89.93 gamma=90.00
Fractional positions:
1 Pr 0.0000 0.0000 0.0000
2 In 0.5000 0.5000 0.5000
3 Au 0.0007 0.0199 0.6587
4 Au 0.4993 0.4802 0.1814
5 Au 0.5007 0.5198 0.8186
6 Au 0.9993 0.9801 0.3413


Density functional theory data (PBE) for ErAlNi4 after structural relaxation.

Computed properties:
The calculation puts the energy relative to the elements at -51.5 kJ/mol of atoms.

Unit cell a=4.9920 b=8.3871 c=4.0191 alpha=90.00 beta=90.00 gamma=90.00
Fractional positions:
1 Er 0.0000 0.0000 0.0000
2 Er 0.5000 0.5000 0.0000
3 Al 0.0000 0.5000 0.5000
4 Al 0.5000 0.0000 0.5000
5 Ni 0.0000 0.3329 0.0000
6 Ni 0.0000 0.6671 0.0000
7 Ni 0.2500 0.2500 0.5000
8 Ni 0.2500 0.7500 0.5000
9 Ni 0.5000 0.1671 0.0000
10 Ni 0.5000 0.8329 0.0000
11 Ni 0.7500 0.2500 0.5000
12 Ni 0.7500 0.7500 0.5000


Density functional theory data (PBE) for SmTh2Te5 after structural relaxation.

Computed properties:
The value obtained for the energy is -5.59 eV per atom.

Unit cell a=7.6383 b=7.6383 c=15.0981 alpha=90.00 beta=90.00 gamma=131.75
Fractional positions:
1 Sm 0.2236 0.7764 0.7500
2 Sm 0.7764 0.2236 0.2500
3 Th 0.1576 0.8424 0.0537
4 Th 0.1576 0.8424 0.4463
5 Th 0.8424 0.1576 0.5537
6 Th 0.8424 0.1576 0.9463
7 Te 0.0498 0.9502 0.6247
8 Te 0.0498 0.9502 0.8753
9 Te 0.2428 0.7572 0.2500
10 Te 0.3457 0.6543 0.5689
11 Te 0.3457 0.6543 0.9311
12 Te 0.6543 0.3457 0.0689
13 Te 0.6543 0.3457 0.4311
14 Te 0.7572 0.2428 0.7500
15 Te 0.9502 0.0498 0.1247
16 Te 0.9502 0.0498 0.3753


Density functional theory data (PBE) for LaSm5Cd6 after structural relaxation.

Computed properties:
The calculation puts the energy relative to the elements at -30.5 kJ/mol of atoms.

Unit cell a=8.5496 b=8.5496 c=7.7192 alpha=90.00 beta=90.00 gamma=143.16
Fractional positions:
1 La 0.0000 0.0000 0.0000
2 Sm 0.0000 0.0000 0.5000
3 Sm 0.3327 0.6673 0.0000
4 Sm 0.3353 0.6647 0.5000
5 Sm 0.6647 0.3353 0.5000
6 Sm 0.6673 0.3327 0.0000
7 Cd 0.1697 0.8303 0.2549
8 Cd 0.1697 0.8303 0.7451
9 Cd 0.5000 0.5000 0.2553
10 Cd 0.5000 0.5000 0.7447
11 Cd 0.8303 0.1697 0.2549
12 Cd 0.8303 0.1697 0.7451


Density functional theory data (PBE) for Pa3Sb4 after structural relaxation.

Computed properties:
The value obtained for the energy is -6.96 eV per atom.

Unit cell a=7.9422 b=7.9422 c=7.9422 alpha=109.47 beta=109.47 gamma=109.47
Fractional positions:
1 Pa 0.1250 0.7500 0.8750
2 Pa 0.2500 0.6250 0.3750
3 Pa 0.3750 0.2500 0.6250
4 Pa 0.6250 0.3750 0.2500
5 Pa 0.7500 0.8750 0.1250
6 Pa 0.8750 0.1250 0.7500
7 Sb 0.0000 0.3412 0.5000
8 Sb 0.0000 0.8412 0.5000
9 Sb 0.1588 0.1588 0.1588
10 Sb 0.3412 0.5000 0.0000
11 Sb 0.5000 0.0000 0.3412
12 Sb 0.5000 0.0000 0.8412
13 Sb 0.6588 0.6588 0.6588
14 Sb 0.8412 0.5000 0.0000


Density functional theory data (PBE) for MgRh2N after structural relaxation.

Computed properties:
The value obtained for the energy is -6.23 eV per atom.

Unit cell a=6.6711 b=6.6711 c=5.2467 alpha=90.00 beta=90.00 gamma=90.00
Fractional positions:
1 Mg 0.0000 0.0000 0.0000
2 Mg 0.0000 0.5000 0.2500
3 Mg 0.5000 0.0000 0.7500
4 Mg 0.5000 0.5000 0.5000
5 Rh 0.1140 0.2500 0.6250
6 Rh 0.2500 0.6140 0.8750
7 Rh 0.2500 0.8860 0.3750
8 Rh 0.3860 0.2500 0.1250
9 Rh 0.6140 0.7500 0.1250
10 Rh 0.7500 0.1140 0.3750
11 Rh 0.7500 0.3860 0.8750
12 Rh 0.8860 0.7500 0.6250
13 N 0.0000 0.0000 0.5000
14 N 0.0000 0.5000 0.7500
15 N 0.5000 0.0000 0.2500
16 N 0.5000 0.5000 0.0000


Density functional theory data (PBE) for Tb12Ru5Pb after structural relaxation.

Computed properties:
The calculation puts the energy relative to the elements at -34.6 kJ/mol of atoms.

Unit cell a=8.4582 b=8.4582 c=8.4582 alpha=112.71 beta=110.43 gamma=105.35
Fractional positions:
1 Tb 0.0392 0.2314 0.8078
2 Tb 0.1762 0.2709 0.4471
3 Tb 0.1762 0.7291 0.9053
4 Tb 0.3268 0.0123 0.6855
5 Tb 0.3268 0.6412 0.3145
6 Tb 0.4237 0.2314 0.1922
7 Tb 0.5763 0.7686 0.8078
8 Tb 0.6732 0.3588 0.6855
9 Tb 0.6732 0.9877 0.3145
10 Tb 0.8238 0.2709 0.0947
11 Tb 0.8238 0.7291 0.5529
12 Tb 0.9608 0.7686 0.1922
13 Ru 0.0000 0.0000 0.0000
14 Ru 0.1218 0.6218 0.5000
15 Ru 0.3352 0.0000 0.3352
16 Ru 0.6648 0.0000 0.6648
17 Ru 0.8782 0.3782 0.5000
18 Pb 0.5000 0.5000 0.0000


Density functional theory data (PBE) for PaHgBi4 after structural relaxation.

Computed properties:
The calculation puts the energy relative to the elements at 1.4 kJ/mol of atoms.

Unit cell a=5.6426 b=5.6426 c=6.6972 alpha=90.00 beta=90.00 gamma=90.00
Fractional positions:
1 Pa 0.0000 0.0000 0.0000
2 Hg 0.5000 0.5000 0.5000
3 Bi 0.0000 0.5000 0.2351
4 Bi 0.0000 0.5000 0.7649
5 Bi 0.5000 0.0000 0.2351
6 Bi 0.5000 0.0000 0.7649


Density functional theory data (PBE) for Ca5Sb after structural relaxation.

Computed properties:
The value obtained for the energy is -2.57 eV per atom.

Unit cell a=6.6374 b=6.6374 c=5.6325 alpha=90.00 beta=90.00 gamma=120.00
Fractional positions:
1 Ca 0.0000 0.6951 0.0000
2 Ca 0.3049 0.3049 0.0000
3 Ca 0.3333 0.6667 0.5000
4 Ca 0.6667 0.3333 0.5000
5 Ca 0.6951 0.0000 0.0000
6 Sb 0.0000 0.0000 0.5000


Density functional theory data (PBE) for ZrSeO2 after structural relaxation.

Computed properties:
The value obtained for the energy is -7.51 eV per atom.

Unit cell a=3.1944 b=3.1944 c=25.8923 alpha=90.00 beta=90.00 gamma=120.00
Fractional positions:
1 Zr 0.0000 0.0000 0.0000
2 Zr 0.3333 0.6667 0.6667
3 Zr 0.6667 0.3333 0.3333
4 Se 0.0000 0.0000 0.5000
5 Se 0.3333 0.6667 0.1667
6 Se 0.6667 0.3333 0.8333
7 O 0.0000 0.0000 0.3727
8 O 0.0000 0.0000 0.6273
9 O 0.3333 0.6667 0.0394
10 O 0.3333 0.6667 0.2940
11 O 0.6667 0.3333 0.7060
12 O 0.6667 0.3333 0.9606


Density functional theory data (PBE) for ThMnSi3Os after structural relaxation.

Computed properties:
The value obtained for the energy is -7.62 eV per atom.

Unit cell a=6.4814 b=6.4814 c=5.6071 alpha=90.00 beta=90.00 gamma=111.21
Fractional positions:
1 Th 0.2427 0.7573 0.7500
2 Th 0.7573 0.2427 0.2500
3 Mn 0.0423 0.9577 0.2500
4 Mn 0.9577 0.0423 0.7500
5 Si 0.2404 0.2404 0.0000
6 Si 0.2404 0.2404 0.5000
7 Si 0.2400 0.7600 0.2500
8 Si 0.7600 0.2400 0.7500
9 Si 0.7596 0.7596 0.0000
10 Si 0.7596 0.7596 0.5000
11 Os 0.4490 0.5510 0.2500
12 Os 0.5510 0.4490 0.7500


Density functional theory data (PBE) for TlSnTe3Pd after structural relaxation.

Computed properties:
The value obtained for the energy is -3.73 eV per atom.

Unit cell a=8.8817 b=4.6796 c=8.9233 alpha=90.00 beta=96.53 gamma=90.00
Fractional positions:
1 Tl 0.2028 0.2500 0.1301
2 Tl 0.7972 0.7500 0.8699
3 Sn 0.1450 0.2500 0.6305
4 Sn 0.8550 0.7500 0.3695
5 Te 0.1589 0.7500 0.8573
6 Te 0.2003 0.7500 0.4042
7 Te 0.4805 0.2500 0.7700
8 Te 0.5195 0.7500 0.2300
9 Te 0.7997 0.2500 0.5958
10 Te 0.8411 0.2500 0.1427
11 Pd 0.4692 0.7500 0.9094
12 Pd 0.5308 0.2500 0.0906


Density functional theory data (PBE) for Sc3Se2 after structural relaxation.

Computed properties:
The value obtained for the energy is -6.45 eV per atom.

Unit cell a=3.7086 b=3.7086 c=27.6559 alpha=90.00 beta=90.00 gamma=120.00
Fractional positions:
1 Sc 0.0000 0.0000 0.0000
2 Sc 0.0000 0.0000 0.2116
3 Sc 0.0000 0.0000 0.7884
4 Sc 0.3333 0.6667 0.4550
5 Sc 0.3333 0.6667 0.6667
6 Sc 0.3333 0.6667 0.8783
7 Sc 0.6667 0.3333 0.1217
8 Sc 0.6667 0.3333 0.3333
9 Sc 0.6667 0.3333 0.5450
10 Se 0.0000 0.0000 0.3933
11 Se 0.0000 0.0000 0.6067
12 Se 0.3333 0.6667 0.0600
13 Se 0.3333 0.6667 0.2734
14 Se 0.6667 0.3333 0.7266
15 Se 0.6667 0.3333 0.9400


Density functional theory data (PBE) for NbBrF3 after structural relaxation.

Computed properties:
The value obtained for the energy is -5.36 eV per atom.

Unit cell a=4.2095 b=4.2095 c=4.2095 alpha=90.00 beta=90.00 gamma=90.00
Fractional positions:
1 Nb 0.0000 0.0000 0.0000
2 Br 0.5000 0.5000 0.5000
3 F 0.0000 0.0000 0.5000
4 F 0.0000 0.5000 0.0000
5 F 0.5000 0.0000 0.0000


Density functional theory data (PBE) for Sr3RuI after structural relaxation.

Computed properties:
The value obtained for the energy is -3.31 eV per atom.

Unit cell a=5.8265 b=5.8265 c=5.8265 alpha=90.00 beta=90.00 gamma=90.00
Fractional positions:
1 Sr 0.0000 0.0000 0.5000
2 Sr 0.0000 0.5000 0.0000
3 Sr 0.5000 0.0000 0.0000
4 Ru 0.0000 0.0000 0.0000
5 I 0.5000 0.5000 0.5000


Density functional theory data (PBE) for Nb2NiMoH after structural relaxation.

Computed properties:
The value obtained for the energy is -8.15 eV per atom.

Unit cell a=4.3851 b=4.3851 c=3.4019 alpha=90.00 beta=90.00 gamma=90.00
Fractional positions:
1 Nb 0.0000 0.5000 0.0000
2 Nb 0.5000 0.0000 0.0000
3 Ni 0.0000 0.0000 0.5000
4 Mo 0.5000 0.5000 0.5000
5 H 0.0000 0.0000 0.0000


Density functional theory data (PBE) for TaSiIr2 after structural relaxation.

Computed properties:
The value obtained for the energy is -9.16 eV per atom.

Unit cell a=2.8930 b=2.8930 c=7.0776 alpha=90.00 beta=90.00 gamma=90.00
Fractional positions:
1 Ta 0.0000 0.0000 0.0000
2 Si 0.5000 0.5000 0.7446
3 Ir 0.0000 0.0000 0.5497
4 Ir 0.5000 0.5000 0.2625


Density functional theory data (PBE) for V2Tc2Pt after structural relaxation.

Computed properties:
The calculation puts the energy relative to the elements at 1.2 kJ/mol of atoms.

Unit cell a=7.1328 b=7.1328 c=2.9071 alpha=90.00 beta=90.00 gamma=90.00
Fractional positions:
1 V 0.1842 0.3158 0.0000
2 V 0.3158 0.8158 0.0000
3 V 0.6842 0.1842 0.0000
4 V 0.8158 0.6842 0.0000
5 Tc 0.1263 0.6263 0.5000
6 Tc 0.3737 0.1263 0.5000
7 Tc 0.6263 0.8737 0.5000
8 Tc 0.8737 0.3737 0.5000
9 Pt 0.0000 0.0000 0.5000
10 Pt 0.5000 0.5000 0.5000